No. 1
# NbFeB2

A crystal of NbFeB2 relaxed with PBEsol (meta-GGA SCAN, Alexandria).

Volume: 10.84 A^3/atom
ΔH_f (0 K): 74 kJ/mol of formula units
Electronic total energy: -16.338 eV per atom

Cell: 3.5574 3.5574 7.3014 Å, 104.10 104.10 90.00°
With the nearest neighbours (Å) after each atom.
Fractional positions:
B (0.1250, 0.3750, 0.7500)  2 B 1.78, 2 Fe 1.93
Fe (0.5000, 0.5000, 0.0000)  4 B 1.93
B (0.6250, 0.8750, 0.2500)  2 B 1.78, 2 Fe 1.93
Nb (0.2500, 0.7500, 0.5000)  4 Fe 2.52, 8 B 2.63
B (0.6250, 0.3750, 0.7500)  2 B 1.78, 2 Fe 1.93
B (0.6250, 0.3750, 0.2500)  2 B 1.78, 2 Fe 1.93
Nb (0.0000, 0.0000, 0.0000)  4 Fe 2.52, 8 B 2.63
Fe (0.7500, 0.2500, 0.5000)  4 B 1.93

=====

No. 2
# Ti3SiI

A crystal of Ti3SiI relaxed with PBEsol (meta-GGA SCAN, Alexandria).

Volume: 22.96 A^3/atom
Uncorrected formation energy: 1.19 eV per atom
Electronic total energy: -17.779 eV per atom

Cell: 4.8598 4.8598 4.8598 Å, 90.00 90.00 90.00°
With the nearest neighbours (Å) after each atom.
Fractional positions:
Si (0.5000, 0.5000, 0.5000)  12 Ti 3.44
Ti (0.0000, 0.5000, 0.0000)  2 I 2.43
I (0.0000, 0.0000, 0.0000)  6 Ti 2.43
Ti (0.5000, 0.0000, 0.0000)  2 I 2.43
Ti (0.0000, 0.0000, 0.5000)  2 I 2.43

=====

No. 3
# La2MoRh

A crystal of La2MoRh relaxed with PBEsol (meta-GGA SCAN, Alexandria).

Volume: 20.44 A^3/atom
ΔH_f (0 K): 111 kJ/mol of formula units
Electronic total energy: -38.429 eV per atom

Cell: 4.8719 4.8719 4.8719 Å, 60.00 60.00 60.00°
With the nearest neighbours (Å) after each atom.
Fractional positions:
Rh (0.2500, 0.2500, 0.2500)  4 La 2.98, 4 Mo 2.98
La (0.0000, 0.0000, 0.0000)  4 La 2.98, 4 Rh 2.98
Mo (0.5000, 0.5000, 0.5000)  4 La 2.98, 4 Rh 2.98
La (0.7500, 0.7500, 0.7500)  4 Mo 2.98, 4 La 2.98